CuPCSe2 PBEsol relaxed; formation energy without anion corrections = 1.88 eV per atom
1.0
-0.210 1.259 -3.990
-4.466 -1.570 -0.260
-1.573 4.240 1.420
P C Cu Se
1 1 1 2
Cartesian
-0.105 0.629 -1.995 P
-3.124 1.965 -1.415 C
0.000 0.000 0.000 Cu
-0.787 2.120 0.710 Se
-2.233 -0.785 -0.130 Se

---

CuPtC2 PBEsol relaxed; uncorrected energy = -5.915 eV/atom
1.0
3.775 0.000 0.000
1.887 3.269 0.000
1.887 1.090 3.082
C Cu Pt
2 1 1
Cartesian
1.887 1.090 0.771 C
5.662 3.269 2.312 C
0.000 0.000 0.000 Cu
3.775 2.179 1.541 Pt

---

CuPt3C PBEsol relaxed; uncorrected energy = -6.602 eV/atom
1.0
-1.828 -3.613 -0.493
-0.373 -0.364 4.045
-3.627 1.858 -0.167
C Cu Pt
1 1 3
Cartesian
0.000 0.000 0.000 C
-2.914 -1.059 1.692 Cu
-0.186 -0.182 2.023 Pt
-1.814 0.929 -0.084 Pt
-0.914 -1.806 -0.247 Pt

---

Cu3ReC PBEsol relaxed; uncorrected energy = -4.173 eV/atom
1.0
-2.126 -0.941 3.917
-0.940 -4.190 -1.517
3.917 -1.516 1.761
Re C Cu
1 1 3
Cartesian
0.000 0.000 0.000 Re
0.426 -3.324 2.080 C
-0.470 -2.095 -0.759 Cu
1.958 -0.758 0.881 Cu
-1.063 -0.471 1.958 Cu

---

CuSbRh2C PBEsol relaxed; formation energy without anion corrections = 0.20 eV per atom
1.0
3.978 0.000 0.000
0.000 4.124 0.000
0.000 0.000 4.124
Sb C Rh Cu
1 1 2 1
Cartesian
1.989 2.062 2.062 Sb
0.000 0.000 0.000 C
0.000 0.000 2.062 Rh
0.000 2.062 0.000 Rh
1.989 0.000 0.000 Cu

---

CuCS3 PBEsol relaxed; formation energy without anion corrections = 1.89 eV per atom
1.0
4.383 0.000 0.000
0.000 4.383 0.000
0.000 0.000 4.383
S C Cu
3 1 1
Cartesian
0.000 2.191 0.000 S
0.000 0.000 2.191 S
2.191 0.000 0.000 S
2.191 2.191 2.191 C
0.000 0.000 0.000 Cu

---

CuTeCS2 PBEsol relaxed; formation energy without anion corrections = 0.92 eV per atom
1.0
-1.637 -3.000 1.634
2.579 0.548 3.590
-3.079 2.665 1.806
S Te C Cu
2 1 1 1
Cartesian
-1.540 1.332 0.903 S
1.290 0.274 1.795 S
-1.069 0.107 3.515 Te
0.000 0.000 0.000 C
-0.819 -1.500 0.817 Cu

---

Cu2CSe PBEsol relaxed; formation energy without anion corrections = 1.26 eV per atom
1.0
-1.041 -3.165 2.387
2.413 -3.308 0.185
2.140 -0.788 3.406
C Cu Se
1 2 1
Cartesian
0.000 0.000 0.000 C
0.878 -1.815 1.495 Cu
2.634 -5.446 4.484 Cu
1.756 -3.631 2.989 Se

---

Sr2CuSnC PBEsol relaxed; uncorrected energy = -3.201 eV/atom
1.0
4.685 0.000 0.000
0.000 6.176 0.000
0.000 0.000 6.176
Sr C Sn Cu
2 1 1 1
Cartesian
0.000 0.000 3.088 Sr
0.000 3.088 0.000 Sr
2.343 3.088 3.088 C
0.000 0.000 0.000 Sn
2.343 0.000 0.000 Cu